Record 1
Density functional theory data (PBE-GGA) for a geometry-optimized AgMo2WAu structure.

Its total DFT energy (no corrections) is -5.61 eV per atom. The density of states at the Fermi level comes out at 11.51 states/eV per cell. As for the formation energy: 2.54 eV/atom.

```
AgMo2WAu
1.0
4.760 0.000 0.000
0.000 4.770 0.000
0.000 0.000 4.760
Ag Au Mo W
1 1 2 1
Cartesian
0.000 0.000 0.000
2.380 2.385 2.380
0.000 0.000 2.380
2.380 0.000 0.000
0.000 2.385 0.000
```

=====

Record 2
Density functional theory data (PBE-GGA) for a geometry-optimized Li2DyTmGe2 structure.

Its total DFT energy (no corrections) is -4.37 eV per atom. The density of states at the Fermi level comes out at 0.98 states/eV per cell. As for the formation energy: -0.68 eV/atom.

```
Li2DyTmGe2
1.0
4.388 0.000 0.000
-2.194 3.800 0.000
0.000 0.000 7.094
Tm Li Dy Ge
1 2 1 2
Cartesian
0.000 0.000 3.547
2.194 1.267 1.859
0.000 2.534 5.236
0.000 0.000 0.000
0.000 2.534 1.802
2.194 1.267 5.292
```

=====

Record 3
Density functional theory data (PBE-GGA) for a geometry-optimized BeRe2 structure.

Its total DFT energy (no corrections) is -9.02 eV per atom. For the relative energy among the computed polymorphs, the calculation gives 796 meV per atom. The density of states at the Fermi level comes out at 2.33 states/eV per cell. As for the formation energy: 0.52 eV/atom.

```
BeRe2
1.0
4.431 0.000 0.000
-2.215 3.837 0.000
0.000 0.000 2.517
Re Be
2 1
Cartesian
2.215 1.279 1.258
0.000 2.558 1.258
0.000 0.000 0.000
```

=====

Record 4
Density functional theory data (PBE-GGA) for a geometry-optimized CdP2WCl structure.

Its total DFT energy (no corrections) is -5.03 eV per atom. For the relative energy among the computed polymorphs, the calculation gives 0 meV per atom. The formation energy (no corrections) comes out at 0.28 eV/atom. The density of states at the Fermi level comes out at 3.36 states/eV per cell.

```
CdP2WCl
1.0
-1.070 4.349 1.459
-3.180 0.376 -3.454
-3.516 -1.883 3.032
Cl P Cd W
1 2 1 1
Cartesian
-1.758 -0.941 1.516
-0.535 2.174 0.730
-1.590 0.188 -1.727
-3.883 1.421 0.518
0.000 0.000 0.000
```